Crystalline CePa2Ni at its relaxed geometry, computed with GGA-PBE.

Output
Calculated total energy = -30.8 eV per cell
Space-group type = P4/mmm
Calculated volume = 91.2 Å³/cell

a = 3.429 Å, b = 3.429 Å, c = 7.760 Å
α = 90.00°, β = 90.00°, γ = 90.00°
Sites, in units of the cell vectors:
Pa (0.000, 0.000, 0.194)
Ce (0.500, 0.500, 0.500)
Pa (0.000, 0.000, 0.806)
Ni (0.500, 0.500, 0.000)

Crystalline Pr12Y2Mg at its relaxed geometry, computed with GGA-PBE.

Output
Calculated total energy = -135.3 eV per cell
Space-group type = P4/nbm
Calculated volume = 1123.6 Å³/cell

a = 6.671 Å, b = 6.671 Å, c = 25.251 Å
α = 90.00°, β = 90.00°, γ = 90.00°
Sites, in units of the cell vectors:
Pr (0.168, 0.332, 0.436)
Pr (0.668, 0.832, 0.564)
Pr (0.668, 0.168, 0.436)
Pr (0.832, 0.668, 0.436)
Mg (0.500, 0.000, 0.000)
Pr (0.317, 0.817, 0.892)
Pr (0.332, 0.832, 0.436)
Pr (0.000, 0.000, 0.210)
Pr (0.317, 0.183, 0.108)
Y (0.500, 0.000, 0.269)
Pr (0.183, 0.317, 0.892)
Mg (0.000, 0.500, 0.000)
Y (0.000, 0.500, 0.731)
Pr (0.183, 0.683, 0.108)
Pr (0.817, 0.317, 0.108)
Pr (0.683, 0.183, 0.892)
Pr (0.683, 0.817, 0.108)
Pr (0.500, 0.500, 0.665)
Pr (0.817, 0.683, 0.892)
Y (0.500, 0.000, 0.731)
Pr (0.000, 0.000, 0.790)
Y (0.000, 0.500, 0.269)
Pr (0.500, 0.500, 0.210)
Pr (0.500, 0.500, 0.335)
Pr (0.500, 0.500, 0.790)
Pr (0.000, 0.000, 0.335)
Pr (0.332, 0.168, 0.564)
Pr (0.832, 0.332, 0.564)
Pr (0.000, 0.000, 0.665)
Pr (0.168, 0.668, 0.564)

Crystalline CeAlZn2Pt4 at its relaxed geometry, computed with GGA-PBE.

Output
Calculated total energy = -43.1 eV per cell
Space-group type = R-3m
Calculated volume = 137.5 Å³/cell

a = 4.333 Å, b = 4.333 Å, c = 8.818 Å
α = 75.78°, β = 75.78°, γ = 60.00°
Sites, in units of the cell vectors:
Zn (0.757, 0.757, 0.730)
Zn (0.243, 0.243, 0.270)
Ce (0.000, 0.000, 0.000)
Pt (0.400, 0.400, 0.800)
Pt (0.866, 0.866, 0.401)
Pt (0.134, 0.134, 0.599)
Al (0.500, 0.500, 0.500)
Pt (0.600, 0.600, 0.200)